Density functional theory data (PBE) for a relaxed structure of La3Co.

Calculated values
VASP energy (eV per atom): -5.44
Total moment (μB/atom): 0.00

The structure in CIF format:
```
data_La3Co
_chemical_formula_sum 'La6 Co2'
_space_group_name_H-M_alt 'C m m m'
_space_group_IT_number 65
_space_group_name_Hall '-C 2 2'
_cell_length_a 4.7012
_cell_length_b 5.3796
_cell_length_c 9.5178
_cell_angle_alpha 90.00
_cell_angle_beta 90.00
_cell_angle_gamma 90.00
loop_
_atom_site_label
_atom_site_type_symbol
_atom_site_fract_x
_atom_site_fract_y
_atom_site_fract_z
La1 La 0.0000 0.0000 0.0000
La2 La 0.0000 0.5000 0.3301
Co1 Co 0.0000 0.0000 0.5000
```